Version i
Compound: Pr2Pa2O7
Source: Alexandria via LeMat-Bulk
Functional: PBE-GGA
Structure: relaxed

Cell lengths 5.5557, 5.6353, 5.5557 Å; angles 90.00, 93.34, 90.00 degrees
Fractional positions:
1 O 0.0000 0.0000 0.0000
2 Pa 0.2668 0.0000 0.7332
3 O 0.5000 0.7652 0.5000
4 O 0.0000 0.2356 0.5000
5 Pa 0.7332 0.0000 0.2668
6 Pr 0.2588 0.5000 0.2588
7 O 0.5000 0.2356 0.0000
8 O 0.5000 0.7644 0.0000
9 O 0.5000 0.2348 0.5000
10 Pr 0.7412 0.5000 0.7412
11 O 0.0000 0.7644 0.5000

Properties
Crystal system: orthorhombic
Space group: No. 65



Version ii
Compound: Pr2Pa2O7
Source: Alexandria via LeMat-Bulk
Functional: PBE-GGA
Structure: relaxed

Cell lengths 7.8460, 7.8460, 7.8460 Å; angles 60.00, 60.00, 60.00 degrees
Fractional positions:
1 Pa 0.6250 0.1250 0.1250
2 Pa 0.1250 0.1250 0.6250
3 O 0.7500 0.7500 0.7500
4 O 0.5000 0.5000 0.5000
5 O 0.2265 0.7735 0.7735
6 Pr 0.6250 0.1250 0.6250
7 O 0.4765 0.0235 0.0235
8 O 0.2265 0.7735 0.2265
9 O 0.0235 0.0235 0.4765
10 O 0.7735 0.2265 0.2265
11 O 0.4765 0.4765 0.0235
12 O 0.2265 0.2265 0.7735
13 Pa 0.1250 0.6250 0.1250
14 O 0.7735 0.2265 0.7735
15 Pr 0.6250 0.6250 0.1250
16 O 0.0235 0.4765 0.4765
17 Pa 0.1250 0.1250 0.1250
18 Pr 0.6250 0.6250 0.6250
19 O 0.0235 0.4765 0.0235
20 O 0.4765 0.0235 0.4765
21 Pr 0.1250 0.6250 0.6250
22 O 0.7735 0.7735 0.2265

Properties
Crystal system: cubic
Space group: No. 227



Verdict on stability: version i comes out at the bottom.



Version i
Compound: PrPaO2
Source: Alexandria via LeMat-Bulk
Functional: PBE-GGA
Structure: relaxed

Cell lengths 3.1221, 3.1221, 6.2837 Å; angles 90.00, 90.00, 90.00 degrees
Fractional positions:
1 O 0.0000 0.0000 0.7745
2 O 0.0000 0.0000 0.2255
3 Pa 0.5000 0.5000 0.0000
4 Pr 0.5000 0.5000 0.5000

Properties
Crystal system: tetragonal
Space group: No. 123



Version ii
Compound: PrPaO2
Source: Alexandria via LeMat-Bulk
Functional: PBE-GGA
Structure: relaxed

Cell lengths 3.7855, 3.7855, 6.7963 Å; angles 73.83, 73.83, 60.00 degrees
Fractional positions:
1 O 0.1285 0.1285 0.6146
2 Pa 0.5000 0.5000 0.5000
3 O 0.8715 0.8715 0.3854
4 Pr 0.0000 0.0000 0.0000

Properties
Crystal system: trigonal
Space group: No. 166



Verdict on stability: version i comes out at the bottom.